Material: CsP2PdCl
Method: DFT, PBE-GGA
State: optimized geometry

Output
uncorrected energy: -3.91 eV per atom
energy above the lowest structure with this stoichiometry: 0 meV/atom
space-group type: P4/mmm, No. 123
energy relative to the elements, uncorrected: -0.167 eV per atom

Cell and atoms, written as POSCAR:
```
CsP2PdCl
1.0
4.5691 0.0000 0.0000
0.0000 4.5691 0.0000
0.0000 0.0000 8.2228
Cs P Pd Cl
1 2 1 1
direct
0.0000 0.0000 0.0000
0.0000 0.5000 0.5000
0.5000 0.0000 0.5000
0.5000 0.5000 0.5000
0.5000 0.5000 0.0000
```